(1)
The following is a GGA-PBE calculation of a geometry-optimized PuTh6Tl5 structure, from the Alexandria database.

Structure (POSCAR):
```
PuTh6Tl5
1.0
2.8498 -8.5706 0.0000
2.8498 8.5706 0.0000
0.0000 0.0000 7.2389
Pu Th Tl
1 6 5
Direct
0.0000 0.0000 0.0000
0.1651 0.8349 0.2494
0.1651 0.8349 0.7506
0.5000 0.5000 0.2509
0.5000 0.5000 0.7491
0.8349 0.1651 0.2494
0.8349 0.1651 0.7506
0.0000 0.0000 0.5000
0.3310 0.6690 0.5000
0.3366 0.6634 0.0000
0.6634 0.3366 0.0000
0.6690 0.3310 0.5000
```

Output
VASP energy (eV per atom): -5.956


(2)
The following is a GGA-PBE calculation of a geometry-optimized Pu2ThTl structure, from the Alexandria database.

Structure (POSCAR):
```
Pu2ThTl
1.0
7.6065 0.0000 0.0000
0.0000 7.6065 0.0000
0.0000 0.0000 7.6065
Pu Th Tl
8 4 4
Direct
0.2500 0.2500 0.2500
0.2500 0.2500 0.7500
0.2500 0.7500 0.2500
0.2500 0.7500 0.7500
0.7500 0.2500 0.2500
0.7500 0.2500 0.7500
0.7500 0.7500 0.2500
0.7500 0.7500 0.7500
0.0000 0.0000 0.0000
0.0000 0.5000 0.5000
0.5000 0.0000 0.5000
0.5000 0.5000 0.0000
0.0000 0.0000 0.5000
0.0000 0.5000 0.0000
0.5000 0.0000 0.0000
0.5000 0.5000 0.5000
```

Output
VASP energy (eV per atom): -9.412
Energy relative to the lowest polymorph listed for this composition (meV per atom): 194


(3)
The following is a GGA-PBE calculation of a geometry-optimized Pu2ThTl structure, from the Alexandria database.

Structure (POSCAR):
```
Pu2ThTl
1.0
4.6703 0.0000 0.0000
0.0000 4.6703 0.0000
0.0000 0.0000 5.0819
Pu Th Tl
2 1 1
Direct
0.0000 0.5000 0.0000
0.5000 0.0000 0.0000
0.0000 0.0000 0.5000
0.5000 0.5000 0.5000
```

Output
VASP energy (eV per atom): -9.607
Energy relative to the lowest polymorph listed for this composition (meV per atom): 0


(4)
The following is a GGA-PBE calculation of a geometry-optimized Pu2ThTl structure, from the Alexandria database.

Structure (POSCAR):
```
Pu2ThTl
1.0
4.1140 0.0000 0.0000
0.0000 4.1140 0.0000
0.0000 0.0000 6.6867
Pu Th Tl
2 1 1
Direct
0.0000 0.0000 0.2354
0.0000 0.0000 0.7646
0.5000 0.5000 0.5000
0.5000 0.5000 0.0000
```

Output
VASP energy (eV per atom): -9.490
Energy relative to the lowest polymorph listed for this composition (meV per atom): 117


(5)
The following is a GGA-PBE calculation of a geometry-optimized PuTh3Tl12 structure, from the Alexandria database.

Structure (POSCAR):
```
PuTh3Tl12
1.0
4.7874 0.0000 0.0000
0.0000 4.7874 0.0000
0.0000 0.0000 19.5248
Pu Th Tl
1 3 12
Direct
0.0000 0.0000 0.0000
0.0000 0.0000 0.2506
0.0000 0.0000 0.5000
0.0000 0.0000 0.7494
0.0000 0.5000 0.1227
0.0000 0.5000 0.3743
0.0000 0.5000 0.6257
0.0000 0.5000 0.8773
0.5000 0.0000 0.1227
0.5000 0.0000 0.3743
0.5000 0.0000 0.6257
0.5000 0.0000 0.8773
0.5000 0.5000 0.0000
0.5000 0.5000 0.2472
0.5000 0.5000 0.5000
0.5000 0.5000 0.7528
```

Output
VASP energy (eV per atom): -4.187


(6)
The following is a GGA-PBE calculation of a geometry-optimized PuTh2Tl3 structure, from the Alexandria database.

Structure (POSCAR):
```
PuTh2Tl3
1.0
3.4955 0.0000 0.0000
0.0000 3.4955 0.0000
0.0000 0.0000 14.0486
Pu Th Tl
1 2 3
Direct
0.0000 0.0000 0.0000
0.0000 0.0000 0.3333
0.0000 0.0000 0.6667
0.5000 0.5000 0.1636
0.5000 0.5000 0.5000
0.5000 0.5000 0.8364
```

Output
VASP energy (eV per atom): -6.145